No. 1
Be3Al2Tc: optimized geometry, GGA-PBE.

Its space group is P-1, No. 2. The calculation puts the calculated total energy at -59.2 eV per cell. The formation energy comes out at -8.9 kJ per mole of atoms.

Cell lengths 4.8144, 6.6730, 5.7049 Å; angles 115.89, 63.50, 107.46 degrees
Positions (direct):
Al 0.4265 0.6415 0.2972
Al 0.8340 0.3186 0.1232
Al 0.1660 0.6814 0.8768
Al 0.5735 0.3585 0.7028
Be 0.6276 0.0065 0.7666
Be 0.3724 0.9935 0.2334
Be 0.7126 0.7638 0.8864
Be 0.1034 0.2818 0.5795
Be 0.2874 0.2362 0.1136
Be 0.8966 0.7182 0.4205
Tc 0.8412 0.0004 0.2990
Tc 0.1588 0.9996 0.7010



No. 2
Pa2Be3PdPt4: optimized geometry, GGA-PBE.

Its space group is P-4m2, No. 115. The calculation puts the calculated total energy at -67.1 eV per cell. The formation energy comes out at -72.7 kJ per mole of atoms.

Cell lengths 3.8873, 3.8873, 10.8110 Å; angles 90.00, 90.00, 90.00 degrees
Positions (direct):
Pt 0.0000 0.5000 0.3255
Pt 0.0000 0.0000 0.0000
Pt 0.5000 0.5000 0.0000
Pt 0.5000 0.0000 0.6745
Pd 0.5000 0.5000 0.5000
Be 0.5000 0.0000 0.8850
Be 0.0000 0.0000 0.5000
Be 0.0000 0.5000 0.1150
Pa 0.5000 0.0000 0.2409
Pa 0.0000 0.5000 0.7591



No. 3
DyHoCdRh: optimized geometry, GGA-PBE.

Its space group is F-43m, No. 216. The calculation puts the calculated total energy at -19.6 eV per cell. The formation energy comes out at -52.0 kJ per mole of atoms. The energy above the most stable polymorph in this dataset comes out at 86.4 meV/atom.

Cell lengths 5.0414, 5.0414, 5.0414 Å; angles 60.00, 60.00, 60.00 degrees
Positions (direct):
Dy 0.0000 0.0000 0.0000
Cd 0.7500 0.7500 0.7500
Rh 0.2500 0.2500 0.2500
Ho 0.5000 0.5000 0.5000



No. 4
Cd2AgHg: optimized geometry, GGA-PBE.

Its space group is P4mm, No. 99. The calculation puts the calculated total energy at -4.8 eV per cell. The formation energy comes out at 3.5 kJ per mole of atoms.

Cell lengths 3.1284, 3.1284, 8.7969 Å; angles 90.00, 90.00, 89.93 degrees
Positions (direct):
Ag 0.5000 0.5000 0.7573
Hg 0.0000 0.0000 0.5139
Cd 0.0000 0.0000 0.9844
Cd 0.5000 0.5000 0.2444



No. 5
AcPu2FeN4: optimized geometry, GGA-PBE.

Its space group is Cmcm, No. 63. The calculation puts the calculated total energy at -165.7 eV per cell. The raw formation energy comes out at -8.299 eV per formula unit.

Cell lengths 3.5013, 6.1003, 11.5228 Å; angles 90.00, 90.00, 106.68 degrees
Positions (direct):
N 0.0000 0.0000 0.0000
N 0.0000 0.0000 0.5000
N 0.2606 0.5211 0.3902
N 0.7394 0.4789 0.6098
N 0.7394 0.4789 0.8902
N 0.4308 0.8616 0.7500
N 0.2606 0.5211 0.1098
N 0.5692 0.1384 0.2500
Pu 0.6322 0.2643 0.0545
Pu 0.3678 0.7357 0.5545
Pu 0.6322 0.2643 0.4455
Pu 0.3678 0.7357 0.9455
Ac 0.9010 0.8020 0.2500
Ac 0.0990 0.1980 0.7500
Fe 0.1657 0.3313 0.2500
Fe 0.8343 0.6687 0.7500



No. 6
TcAgC2: optimized geometry, GGA-PBE.

Its space group is I-42d, No. 122. The calculation puts the calculated total energy at -55.3 eV per cell. The formation energy comes out at 96.9 kJ per mole of atoms. The energy above the most stable polymorph in this dataset comes out at 0.0 meV/atom.

Cell lengths 4.8838, 4.8838, 5.8253 Å; angles 65.22, 65.22, 90.00 degrees
Positions (direct):
Ag 0.7500 0.2500 0.5000
Ag 0.0000 0.0000 0.0000
C 0.8750 0.8140 0.7500
C 0.1860 0.6250 0.2500
C 0.3750 0.4360 0.7500
C 0.5640 0.1250 0.2500
Tc 0.5000 0.5000 0.0000
Tc 0.2500 0.7500 0.5000



No. 7
Ba2HgRh: optimized geometry, GGA-PBE.

Its space group is Pm, No. 6. The calculation puts the calculated total energy at -12.7 eV per cell. The formation energy comes out at -29.7 kJ per mole of atoms.

Cell lengths 4.7903, 4.6670, 6.5366 Å; angles 69.00, 90.00, 90.00 degrees
Positions (direct):
Ba 0.0000 0.9844 0.9067
Ba 0.5000 0.2627 0.3504
Hg 0.0000 0.6905 0.4948
Rh 0.5000 0.5624 0.7481



No. 8
CsRbInSb: optimized geometry, GGA-PBE.

Its space group is F-43m, No. 216. The calculation puts the calculated total energy at -9.3 eV per cell. The raw formation energy comes out at -0.656 eV per formula unit.

Cell lengths 6.1305, 6.1305, 6.1305 Å; angles 60.00, 60.00, 60.00 degrees
Positions (direct):
In 0.5000 0.5000 0.5000
Cs 0.2500 0.2500 0.2500
Sb 0.7500 0.7500 0.7500
Rb 0.0000 0.0000 0.0000



No. 9
BaZrCl4: optimized geometry, GGA-PBE.

Its space group is F-43m, No. 216. The calculation puts the calculated total energy at -19.9 eV per cell. The raw formation energy comes out at -2.082 eV per formula unit.

Cell lengths 6.0808, 6.0808, 6.0808 Å; angles 60.00, 60.00, 60.00 degrees
Positions (direct):
Ba 0.0000 0.0000 0.0000
Zr 0.7500 0.7500 0.7500
Cl 0.3756 0.8731 0.3756
Cl 0.3756 0.3756 0.3756
Cl 0.8731 0.3756 0.3756
Cl 0.3756 0.3756 0.8731



No. 10
PrGaCo2C: optimized geometry, GGA-PBE.

Its space group is Cmcm, No. 63. The calculation puts the calculated total energy at -65.4 eV per cell. The formation energy comes out at -28.2 kJ per mole of atoms.

Cell lengths 3.9986, 5.7125, 6.9557 Å; angles 90.00, 90.00, 110.49 degrees
Positions (direct):
Ga 0.7254 0.4507 0.7500
Ga 0.2746 0.5493 0.2500
Co 0.1592 0.3185 0.5625
Co 0.1592 0.3185 0.9375
Co 0.8408 0.6815 0.0625
Co 0.8408 0.6815 0.4375
C 0.0000 0.0000 0.5000
C 0.0000 0.0000 0.0000
Pr 0.4434 0.8868 0.7500
Pr 0.5566 0.1132 0.2500



No. 11
Tb2Ga6CoCu: optimized geometry, GGA-PBE.

Its space group is Fm-3m, No. 225. The calculation puts the calculated total energy at -40.9 eV per cell. The formation energy comes out at -21.6 kJ per mole of atoms.

Cell lengths 6.4961, 6.4961, 6.4961 Å; angles 60.00, 60.00, 90.00 degrees
Positions (direct):
Ga 0.2484 0.2484 0.0000
Ga 0.2484 0.2484 0.5032
Ga 0.7516 0.7516 0.0000
Ga 0.7516 0.7516 0.4968
Ga 0.7516 0.2484 0.0000
Ga 0.2484 0.7516 0.0000
Tb 0.7500 0.2500 0.5000
Tb 0.2500 0.7500 0.5000
Co 0.0000 0.0000 0.0000
Cu 0.5000 0.5000 0.0000



No. 12
CsRb2TlBr4: optimized geometry, GGA-PBE.

Its space group is P2/m, No. 10. The calculation puts the calculated total energy at -24.1 eV per cell. The raw formation energy comes out at -12.240 eV per formula unit.

Cell lengths 4.9803, 8.6243, 8.6225 Å; angles 70.61, 90.00, 90.00 degrees
Positions (direct):
Br 0.0000 0.7492 0.7601
Br 0.5000 0.2435 0.7629
Br 0.0000 0.2508 0.2399
Br 0.5000 0.7565 0.2371
Tl 0.5000 0.5000 0.0000
Rb 0.5000 0.0000 0.5000
Rb 0.0000 0.0000 0.0000
Cs 0.0000 0.5000 0.5000



No. 13
KPI2N: optimized geometry, GGA-PBE.

Its space group is P4/mmm, No. 123. The calculation puts the calculated total energy at -9.3 eV per cell. The energy above the most stable polymorph in this dataset comes out at 1794.3 meV/atom. The raw formation energy comes out at 8.681 eV per formula unit.

Cell lengths 6.4372, 6.4372, 4.7226 Å; angles 90.00, 90.00, 90.00 degrees
Positions (direct):
P 0.5000 0.5000 0.5000
K 0.0000 0.0000 0.0000
I 0.5000 0.0000 0.0000
I 0.0000 0.5000 0.0000
N 0.0000 0.0000 0.5000



No. 14
TlGePd2F8: optimized geometry, GGA-PBE.

Its space group is P-1, No. 2. The calculation puts the calculated total energy at -52.5 eV per cell. The raw formation energy comes out at -20.207 eV per formula unit.

Cell lengths 5.0874, 5.1439, 7.8622 Å; angles 107.61, 84.14, 109.48 degrees
Positions (direct):
Ge 0.0000 0.0000 0.0000
F 0.0621 0.6606 0.8759
F 0.6498 0.3175 0.5089
F 0.7044 0.7996 0.1160
F 0.7612 0.9388 0.8222
F 0.2956 0.2004 0.8840
F 0.3502 0.6825 0.4911
F 0.9379 0.3394 0.1241
F 0.2388 0.0612 0.1778
Tl 0.0000 0.0000 0.5000
Pd 0.3654 0.4876 0.6999
Pd 0.6346 0.5124 0.3001



No. 15
TlZn2Bi2: optimized geometry, GGA-PBE.

Its space group is P4/mbm, No. 127. The calculation puts the calculated total energy at -23.7 eV per cell. The formation energy comes out at 15.9 kJ per mole of atoms.

Cell lengths 8.8859, 8.8859, 3.3998 Å; angles 90.00, 90.00, 90.00 degrees
Positions (direct):
Bi 0.6520 0.1520 0.0000
Bi 0.3480 0.8480 0.0000
Bi 0.8480 0.6520 0.0000
Bi 0.1520 0.3480 0.0000
Tl 0.5000 0.5000 0.0000
Tl 0.0000 0.0000 0.0000
Zn 0.3575 0.1425 0.5000
Zn 0.6425 0.8575 0.5000
Zn 0.8575 0.3575 0.5000
Zn 0.1425 0.6425 0.5000



No. 16
ErNiHg: optimized geometry, GGA-PBE.

Its space group is I4mm, No. 107. The calculation puts the calculated total energy at -11.6 eV per cell. The formation energy comes out at -31.6 kJ per mole of atoms.

Cell lengths 3.5538, 3.5538, 5.2965 Å; angles 109.60, 109.60, 90.00 degrees
Positions (direct):
Hg 0.6247 0.6247 0.2495
Er 0.9367 0.9367 0.8734
Ni 0.2886 0.2886 0.5771



No. 17
LiTiBi2Rh: optimized geometry, GGA-PBE.

Its space group is P4/mmm, No. 123. The calculation puts the calculated total energy at -23.7 eV per cell. The formation energy comes out at 24.3 kJ per mole of atoms.

Cell lengths 5.4280, 4.5735, 5.4280 Å; angles 90.00, 90.00, 90.00 degrees
Positions (direct):
Ti 0.0000 0.0000 0.0000
Bi 0.5000 0.0000 0.0000
Bi 0.0000 0.0000 0.5000
Li 0.5000 0.5000 0.5000
Rh 0.0000 0.5000 0.0000



No. 18
TlAgOs2: optimized geometry, GGA-PBE.

Its space group is I-42d, No. 122. The calculation puts the calculated total energy at -43.3 eV per cell. The formation energy comes out at 144.9 kJ per mole of atoms. The energy above the most stable polymorph in this dataset comes out at 988.8 meV/atom.

Cell lengths 7.6084, 7.6084, 5.9771 Å; angles 50.47, 50.47, 90.00 degrees
Positions (direct):
Os 0.6198 0.1250 0.2500
Os 0.1302 0.6250 0.2500
Os 0.8750 0.8698 0.7500
Os 0.3750 0.3802 0.7500
Tl 0.7500 0.2500 0.5000
Tl 0.0000 0.0000 0.0000
Ag 0.2500 0.7500 0.5000
Ag 0.5000 0.5000 0.0000



No. 19
Y2CoH8: optimized geometry, GGA-PBE.

Its space group is C2/m, No. 12. The calculation puts the calculated total energy at -50.5 eV per cell.

Cell lengths 3.5101, 4.1158, 6.8946 Å; angles 107.29, 104.75, 90.00 degrees
Positions (direct):
H 0.2372 0.2370 0.4744
H 0.4002 0.1322 0.8003
H 0.6004 0.3300 0.2008
H 0.9999 0.7931 0.9997
H 0.7628 0.7630 0.5256
H 0.5998 0.8678 0.1997
H 0.3996 0.6700 0.7992
H 0.0001 0.2069 0.0003
Co 0.5000 0.0000 0.0000
Y 0.1438 0.6432 0.2876
Y 0.8562 0.3568 0.7124



No. 20
RbSrAl2: optimized geometry, GGA-PBE.

Its space group is I-42d, No. 122. The calculation puts the calculated total energy at -15.7 eV per cell. The formation energy comes out at 55.1 kJ per mole of atoms. The energy above the most stable polymorph in this dataset comes out at 229.9 meV/atom.

Cell lengths 9.3978, 9.3978, 7.4347 Å; angles 50.80, 50.80, 90.00 degrees
Positions (direct):
Al 0.8750 0.8919 0.7500
Al 0.3750 0.3581 0.7500
Al 0.6419 0.1250 0.2500
Al 0.1081 0.6250 0.2500
Sr 0.7500 0.2500 0.5000
Sr 0.0000 0.0000 0.0000
Rb 0.5000 0.5000 0.0000
Rb 0.2500 0.7500 0.5000



No. 21
MnTe2Rh: optimized geometry, GGA-PBE.

Its space group is F-43m, No. 216. The calculation puts the calculated total energy at -20.9 eV per cell. The raw formation energy comes out at 1.947 eV per formula unit.

Cell lengths 4.8961, 4.8961, 4.8961 Å; angles 60.00, 60.00, 60.00 degrees
Positions (direct):
Te 0.7500 0.7500 0.7500
Te 0.0000 0.0000 0.0000
Mn 0.5000 0.5000 0.5000
Rh 0.2500 0.2500 0.2500



No. 22
BeNi2P: optimized geometry, GGA-PBE.

Its space group is R3m, No. 160. The calculation puts the calculated total energy at -20.7 eV per cell. The formation energy comes out at 0.3 kJ per mole of atoms. The energy above the most stable polymorph in this dataset comes out at 360.5 meV/atom.

Cell lengths 7.3718, 7.3718, 7.3718 Å; angles 20.52, 20.52, 20.52 degrees
Positions (direct):
Ni 0.0060 0.0060 0.0060
Ni 0.2447 0.2447 0.2447
Be 0.7491 0.7491 0.7491
P 0.5000 0.5000 0.5000



No. 23
UHgPd6: optimized geometry, GGA-PBE.

Its space group is P4/mmm, No. 123. The calculation puts the calculated total energy at -46.1 eV per cell. The formation energy comes out at -40.0 kJ per mole of atoms.

Cell lengths 4.1135, 4.1135, 8.0994 Å; angles 90.00, 90.00, 90.00 degrees
Positions (direct):
Pd 0.5000 0.5000 0.0000
Pd 0.0000 0.5000 0.2578
Pd 0.5000 0.0000 0.2578
Pd 0.5000 0.5000 0.5000
Pd 0.0000 0.5000 0.7422
Pd 0.5000 0.0000 0.7422
U 0.0000 0.0000 0.5000
Hg 0.0000 0.0000 0.0000



No. 24
K2NaAs2: optimized geometry, GGA-PBE.

Its space group is P4/mbm, No. 127. The calculation puts the calculated total energy at -29.1 eV per cell. The formation energy comes out at -34.0 kJ per mole of atoms. The energy above the most stable polymorph in this dataset comes out at 15.8 meV/atom.

Cell lengths 7.8615, 7.8615, 5.1157 Å; angles 90.00, 90.00, 90.00 degrees
Positions (direct):
Na 0.5000 0.5000 0.0000
Na 0.0000 0.0000 0.0000
K 0.6745 0.8255 0.5000
K 0.3255 0.1745 0.5000
K 0.1745 0.6745 0.5000
K 0.8255 0.3255 0.5000
As 0.8905 0.6095 0.0000
As 0.1095 0.3905 0.0000
As 0.6095 0.1095 0.0000
As 0.3905 0.8905 0.0000



No. 25
PAu2Br: optimized geometry, GGA-PBE.

Its space group is Cm, No. 8. The calculation puts the calculated total energy at -13.0 eV per cell. The energy above the most stable polymorph in this dataset comes out at 79.2 meV/atom. The raw formation energy comes out at 0.656 eV per formula unit.

Cell lengths 4.6152, 4.6152, 6.4515 Å; angles 80.76, 80.76, 45.70 degrees
Positions (direct):
Au 0.2970 0.2970 0.1618
Au 0.0433 0.0433 0.9418
P 0.7646 0.7646 0.8861
Br 0.3951 0.3951 0.5104